Record 1
## BaZr2Pd2 (PBE-GGA)

Data for a geometry-optimized BaZr2Pd2 structure.

The space group is I4/mmm (No. 139) and the conventional cell measures 4.742, 4.742 and 11.416 Å, with angles of 90.00, 90.00 and 90.00 degrees. The inequivalent atoms are Ba at (0.000, 0.000, 0.000), Zr at (0.000, 0.500, 0.250) and Pd at (0.000, 0.000, 0.371).

Its energy above the most stable polymorph in this dataset is 0.000 eV per formula unit. The calculation puts the formation energy at -0.33 eV/atom.

---

Record 2
## Pr2Nd4Tl3O2 (PBE-GGA)

Data for a geometry-optimized Pr2Nd4Tl3O2 structure.

The space group is I4/mmm (No. 139) and the conventional cell measures 4.876, 4.876 and 25.863 Å, with angles of 90.00, 90.00 and 90.00 degrees. The inequivalent atoms are Pr at (0.000, 0.000, 0.197), Nd at (0.000, 0.500, 0.085), Tl at (0.000, 0.000, 0.324), Tl at (0.000, 0.000, 0.500) and O at (0.000, 0.000, 0.102).

Its formation energy (no corrections) is -1.199 eV per atom.